# GGA-PBEsol CuTc3Ag, relaxed
data_CuTc3Ag
_chemical_formula_sum 'Cu1 Tc3 Ag1'
_symmetry_space_group_name_H-M 'P 1'
_symmetry_Int_Tables_number 1
_symmetry_space_group_name_Hall 'P 1'
_cell_length_a 4.649
_cell_length_b 4.649
_cell_length_c 4.649
_cell_angle_alpha 90.00
_cell_angle_beta 90.00
_cell_angle_gamma 90.00
loop_
_atom_site_label
_atom_site_type_symbol
_atom_site_fract_x
_atom_site_fract_y
_atom_site_fract_z
Cu1 Cu 0.500 0.500 0.500
Tc1 Tc 0.000 0.500 0.000
Tc2 Tc 0.000 0.000 0.500
Tc3 Tc 0.500 0.000 0.000
Ag1 Ag 0.000 0.000 0.000
# SG: Pm-3m
# Calculated density (Mg/m³): 7.69
# Energy relative to the elements (eV/atom): 2.911